1.
Density functional theory data (GGA-PBE) for a geometry-optimized MnCdI2 structure.

Cell and atoms, written as POSCAR:
```
MnCdI2
1.0
5.319 0.492 1.171
1.915 -1.763 4.809
3.175 -4.447 0.214
I Cd Mn
2 1 1
Direct
0.250 0.250 0.250
0.750 0.750 0.750
0.500 0.500 0.500
0.000 0.000 0.000
```

Results
* theoretical density: 6.048 Mg/m³
* SG: Fm-3m

2.
Density functional theory data (GGA-PBE) for a geometry-optimized MnCdI2 structure.

Cell and atoms, written as POSCAR:
```
MnCdI2
1.0
-7.665 -0.526 0.041
0.150 -1.595 7.514
-4.073 3.613 4.776
Mn I Cd
2 4 2
Direct
0.250 0.750 0.500
0.500 0.500 0.000
0.513 0.125 0.250
0.875 0.763 0.750
0.237 0.625 0.250
0.375 0.487 0.750
0.000 0.000 0.000
0.750 0.250 0.500
```

Results
* theoretical density: 4.947 Mg/m³
* SG: I-42d

Which structure wins on stability? 1 wins.